# 1
! LaTe2Se PBE-GGA optimized geometry; values from VASP
&SYSTEM
  ibrav = 0, nat = 4, ntyp = 3
/
ATOMIC_SPECIES
La 138.91 La.upf
Se 78.96 Se.upf
Te 127.60 Te.upf
CELL_PARAMETERS angstrom
6.354 -0.038 0.000
3.148 5.520 0.000
-4.751 -2.741 3.208
ATOMIC_POSITIONS crystal
La 0.500 0.500 0.000
Se 0.750 0.250 0.500
Te 0.000 0.000 0.000
Te 0.250 0.750 0.500
! Total DFT energy (no corrections) (eV for the cell shown): -18.134

# 2
! LaTe2Se PBE-GGA optimized geometry; values from VASP
&SYSTEM
  ibrav = 0, nat = 4, ntyp = 3
/
ATOMIC_SPECIES
La 138.91 La.upf
Se 78.96 Se.upf
Te 127.60 Te.upf
CELL_PARAMETERS angstrom
3.971 0.000 0.000
0.000 4.274 0.032
0.000 5.323 7.264
ATOMIC_POSITIONS crystal
La 0.000 0.414 0.545
Se 0.500 0.721 0.686
Te 0.000 0.005 0.004
Te 0.500 0.360 0.265
! Total DFT energy (no corrections) (eV for the cell shown): -18.406

# 3
! La2TeSe PBE-GGA optimized geometry; values from VASP
&SYSTEM
  ibrav = 0, nat = 8, ntyp = 3
/
ATOMIC_SPECIES
Te 127.60 Te.upf
Se 78.96 Se.upf
La 138.91 La.upf
CELL_PARAMETERS angstrom
-1.153 6.848 0.938
-5.683 -1.480 3.823
0.488 2.553 8.136
ATOMIC_POSITIONS crystal
Te 0.000 0.000 0.000
Te 0.750 0.250 0.500
Se 0.500 0.500 0.000
Se 0.250 0.750 0.500
La 0.600 0.125 0.250
La 0.150 0.625 0.250
La 0.375 0.400 0.750
La 0.875 0.850 0.750
! Total DFT energy (no corrections) (eV for the cell shown): -43.017

# 4
! LaTe2Se PBE-GGA optimized geometry; values from VASP
&SYSTEM
  ibrav = 0, nat = 4, ntyp = 3
/
ATOMIC_SPECIES
La 138.91 La.upf
Se 78.96 Se.upf
Te 127.60 Te.upf
CELL_PARAMETERS angstrom
-2.399 -2.848 2.199
3.496 -2.474 0.609
1.252 3.089 5.366
ATOMIC_POSITIONS crystal
La 0.500 0.000 0.500
Se 0.000 0.500 0.500
Te 0.000 0.000 0.000
Te 0.500 0.500 0.000
! Total DFT energy (no corrections) (eV for the cell shown): -18.855

# 5
! LaTeSe3 PBE-GGA optimized geometry; values from VASP
&SYSTEM
  ibrav = 0, nat = 5, ntyp = 3
/
ATOMIC_SPECIES
Te 127.60 Te.upf
Se 78.96 Se.upf
La 138.91 La.upf
CELL_PARAMETERS angstrom
-1.110 5.190 -0.542
0.032 -0.547 -5.306
-5.218 -1.107 0.083
ATOMIC_POSITIONS crystal
Te 0.000 0.000 0.000
Se 0.000 0.500 0.000
Se 0.000 0.000 0.500
Se 0.500 0.000 0.000
La 0.500 0.500 0.500
! Total DFT energy (no corrections) (eV for the cell shown): -21.035

# 6
! LaTeSe2 PBE-GGA optimized geometry; values from VASP
&SYSTEM
  ibrav = 0, nat = 4, ntyp = 3
/
ATOMIC_SPECIES
La 138.91 La.upf
Se 78.96 Se.upf
Te 127.60 Te.upf
CELL_PARAMETERS angstrom
-3.712 5.604 -4.481
-1.564 2.906 -7.373
-5.530 1.656 -5.651
ATOMIC_POSITIONS crystal
La 0.750 0.750 0.750
Se 0.016 0.016 0.016
Se 0.484 0.484 0.484
Te 0.250 0.250 0.250
! Total DFT energy (no corrections) (eV for the cell shown): -17.998

# 7
! LaTeSe2 PBE-GGA optimized geometry; values from VASP
&SYSTEM
  ibrav = 0, nat = 4, ntyp = 3
/
ATOMIC_SPECIES
Te 127.60 Te.upf
Se 78.96 Se.upf
La 138.91 La.upf
CELL_PARAMETERS angstrom
2.585 0.000 8.629
-1.292 2.238 8.629
-1.292 -2.238 8.629
ATOMIC_POSITIONS crystal
Te 0.000 0.000 0.000
Se 0.893 0.893 0.893
Se 0.107 0.107 0.107
La 0.500 0.500 0.500
! Total DFT energy (no corrections) (eV for the cell shown): -19.105

# 8
! LaTe2Se PBE-GGA optimized geometry; values from VASP
&SYSTEM
  ibrav = 0, nat = 4, ntyp = 3
/
ATOMIC_SPECIES
La 138.91 La.upf
Se 78.96 Se.upf
Te 127.60 Te.upf
CELL_PARAMETERS angstrom
-1.948 0.798 5.647
1.584 -1.500 5.618
2.936 4.503 0.857
ATOMIC_POSITIONS crystal
La 0.517 0.517 0.510
Se 0.187 0.187 0.301
Te 0.999 0.999 0.004
Te 0.796 0.796 0.685
! Total DFT energy (no corrections) (eV for the cell shown): -18.503

no.,total magnetic moment (μB per cell),D(E_F) (states/eV per atom)
1,0.0,0.578
2,0.0,0.529
3,0.0,1.209
4,0.0,0.365
5,0.0,0.373
6,3.0,0.379
7,0.9,0.478
8,0.0,0.760